Computed, not measured: a relaxed structure of YCrRu2 at the GGA-PBE level of DFT.

CIF file:
```
data_YCrRu2
_chemical_formula_sum 'Y1 Cr1 Ru2'
_symmetry_space_group_name_H-M 'P 4 m m'
_symmetry_Int_Tables_number 99
_symmetry_space_group_name_Hall 'P 4 -2'
_cell_length_a 3.1645
_cell_length_b 3.1645
_cell_length_c 6.8151
_cell_angle_alpha 90.00
_cell_angle_beta 90.00
_cell_angle_gamma 90.00
loop_
_atom_site_label
_atom_site_fract_x
_atom_site_fract_y
_atom_site_fract_z
Y1 0.0000 0.0000 0.0000
Cr1 0.5000 0.5000 0.3360
Ru1 0.0000 0.0000 0.4816
Ru2 0.5000 0.5000 0.7166
```

Calculated values
energy relative to the lowest polymorph listed for this composition = 270 meV/atom
crystal system = tetragonal
calculated formation energy = 6.75 kcal/mol of atoms
D(E_F) = 5.42 states/eV per cell
DFT total energy = -33.47 eV/cell

Computed, not measured: a relaxed structure of ZrAlFe2 at the GGA-PBE level of DFT.

CIF file:
```
data_ZrAlFe2
_chemical_formula_sum 'Zr1 Al1 Fe2'
_symmetry_space_group_name_H-M 'P 4/m m m'
_symmetry_Int_Tables_number 123
_symmetry_space_group_name_Hall '-P 4 2'
_cell_length_a 4.2268
_cell_length_b 4.2268
_cell_length_c 3.1233
_cell_angle_alpha 90.00
_cell_angle_beta 90.00
_cell_angle_gamma 90.00
loop_
_atom_site_label
_atom_site_fract_x
_atom_site_fract_y
_atom_site_fract_z
Zr1 0.0000 0.0000 0.0000
Al1 0.5000 0.5000 0.0000
Fe1 0.0000 0.5000 0.5000
```

Calculated values
crystal system = tetragonal
calculated formation energy = -5.63 kcal/mol of atoms
D(E_F) = 5.23 states/eV per cell
DFT total energy = -30.19 eV/cell